(1)
## CsHg2Pd (PBE)

Data for a relaxed CsHg2Pd crystal.

```
16
Lattice="5.404 0.000 0.000 0.000 8.188 0.000 0.000 0.000 12.496" Properties=species:S:1:pos:R:3 pbc="T T T"
Cs 4.053 5.352 7.724
Cs 1.351 6.930 1.476
Cs 1.351 2.836 4.771
Cs 4.053 1.258 11.019
Hg 4.053 0.927 7.204
Hg 1.351 3.167 0.956
Hg 1.351 7.261 5.292
Hg 4.053 5.021 11.540
Hg 4.053 5.248 3.500
Hg 1.351 7.035 9.747
Hg 1.351 2.940 8.996
Hg 4.053 1.154 2.748
Pd 4.053 7.596 4.838
Pd 1.351 4.686 11.086
Pd 1.351 0.592 7.658
Pd 4.053 3.502 1.410
```

## Properties
- magnetic moment (μB/atom) = 0.00
- DFT formation energy (eV/f.u.) = -0.91
- energy above the lowest structure with this stoichiometry (eV/atom) = 0.0000

(2)
## CsHg2Pd2 (PBE)

Data for a relaxed CsHg2Pd2 crystal.

```
5
Lattice="4.895 0.000 0.000 0.000 4.895 0.000 2.448 2.448 5.624" Properties=species:S:1:pos:R:3 pbc="T T T"
Cs 0.000 0.000 0.000
Hg 4.895 2.448 2.812
Hg 2.448 4.895 2.812
Pd 2.448 2.448 1.382
Pd 4.895 4.895 4.242
```

## Properties
- magnetic moment (μB/atom) = 0.00
- DFT formation energy (eV/f.u.) = -0.21
- energy above the lowest structure with this stoichiometry (eV/atom) = 0.0759

(3)
## Cs4Hg3Pd2 (PBE)

Data for a relaxed Cs4Hg3Pd2 crystal.

```
9
Lattice="-2.145 3.997 -1.007 -0.895 -2.647 -8.602 -6.453 -4.798 5.425" Properties=species:S:1:pos:R:3 pbc="T T T"
Cs -4.069 -3.095 -3.619
Cs -5.425 -0.352 -0.565
Cs -3.026 -0.775 -7.351
Cs -6.468 -2.673 3.168
Hg -1.709 -1.274 -1.417
Hg -7.784 -2.173 -2.767
Hg -0.447 -1.324 -4.301
Pd -6.975 -3.883 -0.553
Pd -2.518 0.435 -3.631
```

## Properties
- magnetic moment (μB/atom) = 0.03
- DFT formation energy (eV/f.u.) = -1.48

Question: The highest DFT formation energy belongs to which entry?
Answer: CsHg2Pd2

Question: Look up the DFT formation energy of the first one.
Answer: -0.91 eV/f.u.